Entry 1:
The following is a DFT calculation (SCAN) of a PBEsol-optimized structure of LaScTe2.

```
LaScTe2
1.0
4.2573 0.0000 0.0000
2.1286 3.6869 0.0000
2.1286 1.2290 7.1940
Sc Te La
1 2 1
direct
0.0000 0.0000 0.0000
0.2604 0.2604 0.2188
0.7396 0.7396 0.7812
0.5000 0.5000 0.5000
```

Calculated values
Energy above the lowest structure with this stoichiometry = 0.0 meV/atom
ΔE_f (raw) = -5.8 eV/f.u.
Volume = 112.92 Å³/f.u.
Electronic total energy = -34.418 eV per atom
Theoretical density = 6.46 g/cm3


Entry 2:
The following is a DFT calculation (SCAN) of a PBEsol-optimized structure of La2ScTe.

```
La2ScTe
1.0
-1.5695 1.8337 4.0167
0.6439 -4.1223 2.1335
5.2145 2.5219 -1.8474
La Sc Te
2 1 1
direct
0.7500 0.2500 0.5000
0.2500 0.7500 0.5000
0.5000 0.5000 0.0000
0.0000 0.0000 0.0000
```

Calculated values
ΔE_f (raw) = -1.9 eV/f.u.
Volume = 111.94 Å³/f.u.
Electronic total energy = -34.892 eV per atom
Theoretical density = 6.68 g/cm3


Entry 3:
The following is a DFT calculation (SCAN) of a PBEsol-optimized structure of La2ScTe.

```
La2ScTe
1.0
3.8231 0.0000 0.0000
1.9116 3.3109 0.0000
1.9116 1.1036 9.6961
La Sc Te
2 1 1
direct
0.9885 0.9885 0.0344
0.7545 0.7545 0.7365
0.5138 0.5138 0.4587
0.2432 0.2432 0.2704
```

Calculated values
ΔE_f (raw) = -2.3 eV/f.u.
Volume = 122.74 Å³/f.u.
Electronic total energy = -35.007 eV per atom
Theoretical density = 6.09 g/cm3